Below is an optimized crystal structure of ScCd2Bi2, with properties calculated at the PBE-GGA level.

Cell lengths 4.0127, 4.0127, 18.0007 Å; angles 90.00, 90.00, 90.00 degrees
Last column: nearest neighbours and their distance in Å.
Space group I4/mmm (No. 139)
Symmetry-distinct sites (fractional):
Sc 0.0000 0.0000 0.0000 (multiplicity 2)  8 Bi 3.23
Cd 0.0000 0.5000 0.2500 (multiplicity 4)  4 Cd 2.84
Bi 0.0000 0.0000 0.4140 (multiplicity 4)  1 Bi 3.10, 4 Sc 3.23

Summary:
Calculated formation energy ... -0.1057 eV per atom
Total moment ... 0.000 μB per cell
Electronic total energy ... -3.290 eV/atom
Density of states at the Fermi level ... 2.3 states/eV/f.u.
Energy above the lowest structure with this stoichiometry ... 0 meV/atom